No. 1
BeBiAu2 | SCAN | PBEsol geometry

```
8
Lattice="-3.4372 -2.3378 -2.4275 2.6293 -4.0292 0.1574 -2.8527 1.3090 7.5517" Properties=species:S:1:pos:R:3 pbc="T T T"
Be -3.3470 -2.1062 1.9946
Au -0.0802 -4.3325 0.8479
Au -2.3561 -2.9718 0.0903
Au -1.9509 -0.2580 5.3974
Bi -0.3137 -2.9519 3.2870
Be -0.4040 -3.1835 -1.1351
Bi 0.0000 0.0000 0.0000
Au -2.9341 -2.5538 4.2276
```

Output
The size of the total moment comes out at 0.000 μB per atom. Its density of states at the Fermi level is 0.409 states/eV/atom. The symmetry is I-42d, No. 122. The calculation puts the electronic total energy at -441.7 eV for the cell shown.

=====

No. 2
TlReSe | SCAN | PBEsol geometry

```
3
Lattice="4.4685 0.0000 0.0000 2.2342 3.8698 0.0000 2.2342 1.2899 3.6485" Properties=species:S:1:pos:R:3 pbc="T T T"
Tl 0.0000 0.0000 0.0000
Re 4.4685 2.5799 1.8243
Se 2.2342 1.2899 0.9121
```

Output
The size of the total moment comes out at 0.663 μB per atom. Its density of states at the Fermi level is 0.555 states/eV/atom. The symmetry is F-43m, No. 216. The calculation puts the electronic total energy at -159.0 eV for the cell shown.

=====

No. 3
CaPCl2 | SCAN | PBEsol geometry

```
4
Lattice="4.6170 0.0854 0.0000 -0.3155 4.6070 0.0000 -2.1508 -2.3462 4.2211" Properties=species:S:1:pos:R:3 pbc="T T T"
Cl -1.2331 1.1304 2.1106
Cl 1.2331 -1.1304 2.1106
P 0.0000 0.0000 0.0000
Ca 2.1508 2.3462 0.0000
```

Output
The value obtained for the offset from the most stable computed form is 19.9 meV per atom. The size of the total moment comes out at 0.000 μB per atom. Its density of states at the Fermi level is 0.230 states/eV/atom. The symmetry is Fmmm, No. 69.

=====

No. 4
BaSiAg3 | SCAN | PBEsol geometry

```
5
Lattice="-0.7118 -3.2507 3.6117 4.7193 -1.3320 -0.2688 1.1575 3.4317 3.3169" Properties=species:S:1:pos:R:3 pbc="T T T"
Ag 0.5787 1.7159 1.6584
Ag 2.3597 -0.6660 -0.1344
Si 0.0000 0.0000 0.0000
Ba 2.5825 -0.5755 3.3299
Ag -0.3559 -1.6254 1.8058
```

Output
The value obtained for the offset from the most stable computed form is 0.0 meV per atom. The size of the total moment comes out at 0.000 μB per atom. Its density of states at the Fermi level is 0.384 states/eV/atom. The symmetry is Pm-3m, No. 221.